This record from the Alexandria database describes a relaxed CaInIr2 crystal. The functional is GGA-PBEsol.

Cell lengths 5.8813, 9.0721, 2.8906 Å; angles 90.00, 115.76, 90.00 degrees
Space group C2/m (No. 12)
Asymmetric unit:
Ca 0.0000 0.0000 0.0000
In 0.0000 0.5000 0.0000
Ir 0.2500 0.2500 0.5000

Calculated values
energy relative to the elements	0.10	eV per atom
raw total energy	-0.4477	Ry per atom